No. 1
First-principles (PBE-GGA) data for a relaxed Pa3Tl4RhSe8 crystal, as listed in the Alexandria database.

spin magnetization: 0.20 μB per atom
symmetry: C2/m

Cell lengths 8.0048, 8.0048, 9.3696 Å; angles 115.37, 115.37, 59.99 degrees
Positions (direct):
Pa (0.0000, 0.0000, 0.0000)
Pa (0.0000, 0.5000, 0.0000)
Pa (0.5000, 0.0000, 0.0000)
Tl (0.0000, 0.0000, 0.5000)
Tl (0.0000, 0.5000, 0.5000)
Tl (0.5000, 0.0000, 0.5000)
Tl (0.5000, 0.5000, 0.5000)
Rh (0.5000, 0.5000, 0.0000)
Se (0.2371, 0.2371, 0.2110)
Se (0.2484, 0.7235, 0.1954)
Se (0.2765, 0.7516, 0.8046)
Se (0.2773, 0.2773, 0.8052)
Se (0.7227, 0.7227, 0.1948)
Se (0.7235, 0.2484, 0.1954)
Se (0.7516, 0.2765, 0.8046)
Se (0.7629, 0.7629, 0.7890)



No. 2
First-principles (PBE-GGA) data for a relaxed PaTlRhSe3 crystal, as listed in the Alexandria database.

spin magnetization: 0.00 μB per atom
symmetry: Cmcm

Cell lengths 8.0026, 8.0026, 10.4128 Å; angles 90.00, 90.00, 152.29 degrees
Positions (direct):
Pa (0.0000, 0.0000, 0.0000)
Pa (0.0000, 0.0000, 0.5000)
Tl (0.2370, 0.7630, 0.7500)
Tl (0.7630, 0.2370, 0.2500)
Rh (0.4704, 0.5296, 0.2500)
Rh (0.5296, 0.4704, 0.7500)
Se (0.0716, 0.9284, 0.2500)
Se (0.3690, 0.6310, 0.0537)
Se (0.3690, 0.6310, 0.4463)
Se (0.6310, 0.3690, 0.5537)
Se (0.6310, 0.3690, 0.9463)
Se (0.9284, 0.0716, 0.7500)



No. 3
First-principles (PBE-GGA) data for a relaxed Pa2Tl3RhSe6 crystal, as listed in the Alexandria database.

spin magnetization: 0.09 μB per atom
symmetry: C2/m

Cell lengths 9.0621, 9.0621, 9.0257 Å; angles 93.16, 93.16, 25.39 degrees
Positions (direct):
Pa (0.1345, 0.1345, 0.0724)
Pa (0.8655, 0.8655, 0.9276)
Tl (0.1704, 0.1704, 0.6084)
Tl (0.5000, 0.5000, 0.5000)
Tl (0.8296, 0.8296, 0.3916)
Rh (0.5000, 0.5000, 0.0000)
Se (0.0178, 0.0178, 0.8214)
Se (0.3047, 0.3047, 0.1227)
Se (0.3452, 0.3452, 0.7020)
Se (0.6548, 0.6548, 0.2980)
Se (0.6953, 0.6953, 0.8773)
Se (0.9822, 0.9822, 0.1786)



No. 4
First-principles (PBE-GGA) data for a relaxed PaSi2Rh crystal, as listed in the Alexandria database.

spin magnetization: 0.00 μB per atom
symmetry: P4/mmm

Cell lengths 3.0509, 3.0509, 7.0481 Å; angles 90.00, 90.00, 90.00 degrees
Positions (direct):
Pa (0.0000, 0.0000, 0.0000)
Si (0.5000, 0.5000, 0.2966)
Si (0.5000, 0.5000, 0.7034)
Rh (0.0000, 0.0000, 0.5000)



No. 5
First-principles (PBE-GGA) data for a relaxed PaSi3Rh3 crystal, as listed in the Alexandria database.

spin magnetization: 0.00 μB per atom
symmetry: P2_1/m

Cell lengths 7.6144, 4.0721, 8.4563 Å; angles 90.00, 104.50, 90.00 degrees
Positions (direct):
Pa (0.1795, 0.2500, 0.2847)
Pa (0.8205, 0.7500, 0.7153)
Si (0.0869, 0.2500, 0.9189)
Si (0.1027, 0.7500, 0.5301)
Si (0.4835, 0.7500, 0.2893)
Si (0.5165, 0.2500, 0.7107)
Si (0.8973, 0.2500, 0.4699)
Si (0.9131, 0.7500, 0.0811)
Rh (0.1855, 0.2500, 0.6793)
Rh (0.2206, 0.7500, 0.0475)
Rh (0.4113, 0.7500, 0.5625)
Rh (0.5887, 0.2500, 0.4375)
Rh (0.7794, 0.2500, 0.9525)
Rh (0.8145, 0.7500, 0.3207)



No. 6
First-principles (PBE-GGA) data for a relaxed Pa2Si3Rh5 crystal, as listed in the Alexandria database.

spin magnetization: 0.00 μB per atom
symmetry: Cmc2_1

Cell lengths 12.4754, 12.4754, 6.6684 Å; angles 90.00, 90.00, 161.32 degrees
Positions (direct):
Pa (0.0156, 0.9844, 0.5000)
Pa (0.3250, 0.6750, 0.5072)
Pa (0.6750, 0.3250, 0.0072)
Pa (0.9844, 0.0156, 0.0000)
Si (0.1141, 0.8859, 0.2707)
Si (0.2732, 0.7268, 0.0276)
Si (0.4420, 0.5580, 0.2719)
Si (0.5580, 0.4420, 0.7719)
Si (0.7268, 0.2732, 0.5276)
Si (0.8859, 0.1141, 0.7707)
Rh (0.0976, 0.9024, 0.9008)
Rh (0.2098, 0.7902, 0.7387)
Rh (0.2107, 0.7893, 0.3179)
Rh (0.3709, 0.6291, 0.9903)
Rh (0.4478, 0.5522, 0.6653)
Rh (0.5522, 0.4478, 0.1653)
Rh (0.6291, 0.3709, 0.4903)
Rh (0.7893, 0.2107, 0.8179)
Rh (0.7902, 0.2098, 0.2387)
Rh (0.9024, 0.0976, 0.4008)



No. 7
First-principles (PBE-GGA) data for a relaxed PaSi2Rh4 crystal, as listed in the Alexandria database.

spin magnetization: 0.00 μB per atom
symmetry: Pnma

Cell lengths 16.6706, 3.9881, 6.6255 Å; angles 90.00, 90.00, 90.00 degrees
Positions (direct):
Pa (0.1398, 0.2500, 0.0084)
Pa (0.3602, 0.7500, 0.5084)
Pa (0.6398, 0.2500, 0.4916)
Pa (0.8602, 0.7500, 0.9916)
Si (0.0377, 0.7500, 0.2696)
Si (0.2128, 0.2500, 0.5433)
Si (0.2872, 0.7500, 0.0433)
Si (0.4623, 0.2500, 0.7696)
Si (0.5377, 0.7500, 0.2304)
Si (0.7128, 0.2500, 0.9567)
Si (0.7872, 0.7500, 0.4567)
Si (0.9623, 0.2500, 0.7304)
Rh (0.0321, 0.7500, 0.8700)
Rh (0.0688, 0.2500, 0.4847)
Rh (0.1821, 0.7500, 0.3283)
Rh (0.2005, 0.7500, 0.7482)
Rh (0.2995, 0.2500, 0.2482)
Rh (0.3179, 0.2500, 0.8284)
Rh (0.4312, 0.7500, 0.9847)
Rh (0.4679, 0.2500, 0.3700)
Rh (0.5321, 0.7500, 0.6300)
Rh (0.5688, 0.2500, 0.0153)
Rh (0.6821, 0.7500, 0.1716)
Rh (0.7005, 0.7500, 0.7518)
Rh (0.7995, 0.2500, 0.2518)
Rh (0.8179, 0.2500, 0.6716)
Rh (0.9312, 0.7500, 0.5153)
Rh (0.9679, 0.2500, 0.1300)



No. 8
First-principles (PBE-GGA) data for a relaxed Pa2SiRh crystal, as listed in the Alexandria database.

spin magnetization: 0.00 μB per atom
symmetry: P4/mmm

Cell lengths 3.6885, 3.6885, 5.9559 Å; angles 90.00, 90.00, 90.00 degrees
Positions (direct):
Pa (0.0000, 0.0000, 0.2442)
Pa (0.0000, 0.0000, 0.7558)
Si (0.5000, 0.5000, 0.0000)
Rh (0.5000, 0.5000, 0.5000)



No. 9
First-principles (PBE-GGA) data for a relaxed PaSi2Rh4 crystal, as listed in the Alexandria database.

spin magnetization: 0.00 μB per atom
symmetry: Cmmm

Cell lengths 6.9319, 6.9319, 4.1498 Å; angles 90.00, 90.00, 145.72 degrees
Positions (direct):
Pa (0.0000, 0.0000, 0.0000)
Si (0.4094, 0.5906, 0.5000)
Si (0.5906, 0.4094, 0.5000)
Rh (0.1749, 0.8251, 0.5000)
Rh (0.3291, 0.6709, 0.0000)
Rh (0.6709, 0.3291, 0.0000)
Rh (0.8251, 0.1749, 0.5000)



No. 10
First-principles (PBE-GGA) data for a relaxed Pa2Si2Rh crystal, as listed in the Alexandria database.

spin magnetization: 0.00 μB per atom
symmetry: P4/mbm

Cell lengths 6.4055, 6.4055, 4.6102 Å; angles 90.00, 90.00, 90.00 degrees
Positions (direct):
Pa (0.1521, 0.3479, 0.0000)
Pa (0.3479, 0.8479, 0.0000)
Pa (0.6521, 0.1521, 0.0000)
Pa (0.8479, 0.6521, 0.0000)
Si (0.1403, 0.6403, 0.5000)
Si (0.3597, 0.1403, 0.5000)
Si (0.6403, 0.8597, 0.5000)
Si (0.8597, 0.3597, 0.5000)
Rh (0.0000, 0.0000, 0.5000)
Rh (0.5000, 0.5000, 0.5000)



No. 11
First-principles (PBE-GGA) data for a relaxed PaSiRh5 crystal, as listed in the Alexandria database.

spin magnetization: 0.00 μB per atom
symmetry: P4/mmm

Cell lengths 4.0408, 4.0408, 6.8311 Å; angles 90.00, 90.00, 90.00 degrees
Positions (direct):
Pa (0.0000, 0.0000, 0.0000)
Si (0.5000, 0.5000, 0.5000)
Rh (0.0000, 0.5000, 0.2953)
Rh (0.0000, 0.5000, 0.7047)
Rh (0.5000, 0.0000, 0.2953)
Rh (0.5000, 0.0000, 0.7047)
Rh (0.5000, 0.5000, 0.0000)



No. 12
First-principles (PBE-GGA) data for a relaxed PaSi2Rh crystal, as listed in the Alexandria database.

spin magnetization: 0.00 μB per atom
symmetry: R-3m

Cell lengths 5.5403, 5.5403, 5.5403 Å; angles 42.56, 42.56, 42.56 degrees
Positions (direct):
Pa (0.0000, 0.0000, 0.0000)
Si (0.2155, 0.2155, 0.2155)
Si (0.7845, 0.7845, 0.7845)
Rh (0.5000, 0.5000, 0.5000)



No. 13
First-principles (PBE-GGA) data for a relaxed PaSi2Rh3 crystal, as listed in the Alexandria database.

spin magnetization: 0.00 μB per atom
symmetry: C2/m

Cell lengths 8.3130, 8.3130, 9.6656 Å; angles 107.72, 107.72, 27.29 degrees
Positions (direct):
Pa (0.0000, 0.0000, 0.0000)
Pa (0.1595, 0.1595, 0.6993)
Pa (0.8405, 0.8405, 0.3007)
Si (0.1956, 0.1956, 0.1246)
Si (0.3635, 0.3635, 0.5524)
Si (0.4624, 0.4624, 0.2282)
Si (0.5376, 0.5376, 0.7718)
Si (0.6365, 0.6365, 0.4476)
Si (0.8044, 0.8044, 0.8754)
Rh (0.0440, 0.0440, 0.3298)
Rh (0.2221, 0.2221, 0.3887)
Rh (0.3226, 0.3226, 0.0474)
Rh (0.3831, 0.3831, 0.8092)
Rh (0.5000, 0.5000, 0.5000)
Rh (0.6169, 0.6169, 0.1908)
Rh (0.6774, 0.6774, 0.9526)
Rh (0.7779, 0.7779, 0.6113)
Rh (0.9560, 0.9560, 0.6702)



No. 14
First-principles (PBE-GGA) data for a relaxed Pa4Si8Rh crystal, as listed in the Alexandria database.

spin magnetization: 0.00 μB per atom
symmetry: Pmm2

Cell lengths 3.9230, 3.9861, 16.0827 Å; angles 90.00, 90.00, 90.00 degrees
Positions (direct):
Pa (0.0000, 0.0000, 0.0000)
Pa (0.0000, 0.5000, 0.4891)
Pa (0.5000, 0.0000, 0.2101)
Pa (0.5000, 0.5000, 0.6996)
Si (0.0000, 0.0000, 0.3500)
Si (0.0000, 0.0000, 0.6368)
Si (0.0000, 0.5000, 0.1500)
Si (0.0000, 0.5000, 0.8334)
Si (0.5000, 0.0000, 0.5482)
Si (0.5000, 0.0000, 0.8340)
Si (0.5000, 0.5000, 0.0666)
Si (0.5000, 0.5000, 0.3499)
Rh (0.5000, 0.5000, 0.9181)



No. 15
First-principles (PBE-GGA) data for a relaxed Pa3Si4Rh7 crystal, as listed in the Alexandria database.

spin magnetization: 0.00 μB per atom
symmetry: C2/m

Cell lengths 7.9303, 7.9303, 9.3962 Å; angles 124.71, 124.71, 29.02 degrees
Positions (direct):
Pa (0.0000, 0.0000, 0.0000)
Pa (0.3274, 0.3274, 0.3317)
Pa (0.6726, 0.6726, 0.6683)
Si (0.1119, 0.1119, 0.8403)
Si (0.3398, 0.3398, 0.7290)
Si (0.6602, 0.6602, 0.2710)
Si (0.8881, 0.8881, 0.1597)
Rh (0.0000, 0.0000, 0.5000)
Rh (0.1672, 0.1672, 0.4301)
Rh (0.3006, 0.3006, 0.9504)
Rh (0.4965, 0.4965, 0.7204)
Rh (0.5035, 0.5035, 0.2796)
Rh (0.6994, 0.6994, 0.0496)
Rh (0.8328, 0.8328, 0.5699)



No. 16
First-principles (PBE-GGA) data for a relaxed PaSi3Rh crystal, as listed in the Alexandria database.

spin magnetization: 0.00 μB per atom
symmetry: P2_1/m

Cell lengths 4.2057, 8.0823, 5.8370 Å; angles 90.00, 106.95, 90.00 degrees
Positions (direct):
Pa (0.0119, 0.2500, 0.0007)
Pa (0.9881, 0.7500, 0.9993)
Si (0.2757, 0.7500, 0.5886)
Si (0.4614, 0.0027, 0.7942)
Si (0.4614, 0.4973, 0.7942)
Si (0.5386, 0.5027, 0.2058)
Si (0.5386, 0.9973, 0.2058)
Si (0.7243, 0.2500, 0.4114)
Rh (0.2958, 0.2500, 0.5925)
Rh (0.7042, 0.7500, 0.4075)



No. 17
First-principles (PBE-GGA) data for a relaxed PaSi2Rh2 crystal, as listed in the Alexandria database.

spin magnetization: 0.00 μB per atom
symmetry: P4/nmm

Cell lengths 4.0995, 4.0995, 9.8889 Å; angles 90.00, 90.00, 90.00 degrees
Positions (direct):
Pa (0.2500, 0.2500, 0.2483)
Pa (0.7500, 0.7500, 0.7517)
Si (0.2500, 0.2500, 0.6337)
Si (0.2500, 0.7500, 0.0000)
Si (0.7500, 0.2500, 0.0000)
Si (0.7500, 0.7500, 0.3663)
Rh (0.2500, 0.2500, 0.8732)
Rh (0.2500, 0.7500, 0.5000)
Rh (0.7500, 0.2500, 0.5000)
Rh (0.7500, 0.7500, 0.1268)



No. 18
First-principles (PBE-GGA) data for a relaxed Pa2Si4Rh5 crystal, as listed in the Alexandria database.

spin magnetization: 0.11 μB per atom
symmetry: Fmmm

Cell lengths 8.4280, 7.5082, 5.5059 Å; angles 79.08, 61.01, 39.90 degrees
Positions (direct):
Pa (0.1290, 0.1290, 0.8710)
Pa (0.8710, 0.8710, 0.1290)
Si (0.2212, 0.5064, 0.4936)
Si (0.4936, 0.7788, 0.2212)
Si (0.5064, 0.2212, 0.7788)
Si (0.7788, 0.4936, 0.5064)
Rh (0.0000, 0.0000, 0.5000)
Rh (0.2500, 0.2500, 0.2500)
Rh (0.5000, 0.5000, 0.0000)
Rh (0.5000, 0.5000, 0.5000)
Rh (0.7500, 0.7500, 0.7500)



No. 19
First-principles (PBE-GGA) data for a relaxed Pa3Si4Rh4 crystal, as listed in the Alexandria database.

spin magnetization: 0.00 μB per atom
symmetry: Immm

Cell lengths 12.5947, 12.5947, 12.5947 Å; angles 162.35, 161.04, 26.02 degrees
Positions (direct):
Pa (0.0000, 0.0000, 0.0000)
Pa (0.3549, 0.8549, 0.5000)
Pa (0.6451, 0.1451, 0.5000)
Si (0.1948, 0.6948, 0.5000)
Si (0.4523, 0.4523, 0.0000)
Si (0.5477, 0.5477, 0.0000)
Si (0.8052, 0.3052, 0.5000)
Rh (0.0963, 0.5963, 0.5000)
Rh (0.2517, 0.2517, 0.0000)
Rh (0.7483, 0.7483, 0.0000)
Rh (0.9037, 0.4037, 0.5000)



No. 20
First-principles (PBE-GGA) data for a relaxed Pa2SiRh crystal, as listed in the Alexandria database.

spin magnetization: 0.00 μB per atom
symmetry: P4/mmm

Cell lengths 4.2938, 4.2938, 4.2547 Å; angles 90.00, 90.00, 90.00 degrees
Positions (direct):
Pa (0.0000, 0.5000, 0.0000)
Pa (0.5000, 0.0000, 0.0000)
Si (0.0000, 0.0000, 0.5000)
Rh (0.5000, 0.5000, 0.5000)



Number 1: energy -5.40 eV per atom, mass density 8.25 g/cm³. Number 2: energy -5.89 eV per atom, mass density 8.30 g/cm³. Number 3: energy -5.43 eV per atom, mass density 8.64 g/cm³. Number 4: energy -7.38 eV per atom, mass density 9.87 g/cm³. Number 5: energy -7.51 eV per atom, mass density 8.16 g/cm³. Number 6: energy -8.06 eV per atom, mass density 10.60 g/cm³. Number 7: energy -8.01 eV per atom, mass density 10.54 g/cm³. Number 8: energy -8.48 eV per atom, mass density 12.15 g/cm³. Number 9: energy -7.86 eV per atom, mass density 10.33 g/cm³. Number 10: energy -8.19 eV per atom, mass density 10.91 g/cm³. Number 11: energy -8.14 eV per atom, mass density 11.52 g/cm³. Number 12: energy -7.72 eV per atom, mass density 9.20 g/cm³. Number 13: energy -8.03 eV per atom, mass density 10.21 g/cm³. Number 14: energy -7.34 eV per atom, mass density 8.26 g/cm³. Number 15: energy -8.24 eV per atom, mass density 10.93 g/cm³. Number 16: energy -7.05 eV per atom, mass density 7.32 g/cm³. Number 17: energy -7.99 eV per atom, mass density 9.85 g/cm³. Number 18: energy -7.84 eV per atom, mass density 9.78 g/cm³. Number 19: energy -8.20 eV per atom, mass density 10.27 g/cm³. Number 20: energy -8.45 eV per atom, mass density 12.55 g/cm³.